Entry 1:
Computed, not measured: an optimized crystal structure of NbBO2F at the PBEsol level of DFT.

Computed properties:
**Energy**: -7.00 eV per atom
**Total magnetization**: 0.3 μB/cell
**Calculated volume**: 12.9 Å³ per atom
**ΔE_f (raw)**: -0.9438 eV/atom
**Density of states at the Fermi level**: 0.5661 states/eV/atom

Lattice parameters (Å, degrees): 3.952 3.952 4.127 90.00 90.00 90.00
Atoms (fractional coordinates):
Nb (0.000, 0.000, 0.000)
B (0.500, 0.500, 0.500)
O (0.000, 0.500, 0.000)
O (0.500, 0.000, 0.000)
F (0.000, 0.000, 0.500)

=====

Entry 2:
Computed, not measured: an optimized crystal structure of NbBS2F at the PBEsol level of DFT.

Computed properties:
**Energy**: -5.53 eV per atom
**Total magnetization**: 0.7 μB/cell
**Calculated volume**: 13.7 Å³ per atom
**ΔE_f (raw)**: 0.1810 eV/atom
**Density of states at the Fermi level**: 0.7505 states/eV/atom

Lattice parameters (Å, degrees): 3.920 3.920 4.443 90.00 90.00 90.00
Atoms (fractional coordinates):
Nb (0.000, 0.000, 0.000)
B (0.000, 0.000, 0.500)
S (0.000, 0.500, 0.500)
S (0.500, 0.000, 0.500)
F (0.500, 0.500, 0.000)

=====

Entry 3:
Computed, not measured: an optimized crystal structure of Nd4B4O11F2 at the PBEsol level of DFT.

Computed properties:
**Energy**: -8.43 eV per atom
**Total magnetization**: 0.0 μB/cell
**Calculated volume**: 10.7 Å³ per atom
**ΔE_f (raw)**: -3.1783 eV/atom
**Density of states at the Fermi level**: 0.0000 states/eV/atom

Lattice parameters (Å, degrees): 7.275 7.275 13.902 91.04 91.04 37.57
Atoms (fractional coordinates):
Nd (0.033, 0.084, 0.370)
Nd (0.084, 0.033, 0.870)
Nd (0.199, 0.243, 0.128)
Nd (0.243, 0.199, 0.628)
Nd (0.757, 0.801, 0.372)
Nd (0.801, 0.757, 0.872)
Nd (0.916, 0.967, 0.130)
Nd (0.967, 0.916, 0.630)
B (0.356, 0.456, 0.474)
B (0.388, 0.427, 0.786)
B (0.427, 0.388, 0.286)
B (0.456, 0.356, 0.974)
B (0.544, 0.644, 0.026)
B (0.573, 0.612, 0.714)
B (0.612, 0.573, 0.214)
B (0.644, 0.544, 0.526)
O (0.081, 0.759, 0.463)
O (0.119, 0.681, 0.275)
O (0.145, 0.511, 0.743)
O (0.241, 0.919, 0.037)
O (0.286, 0.539, 0.893)
O (0.319, 0.881, 0.225)
O (0.333, 0.442, 0.064)
O (0.355, 0.645, 0.750)
O (0.442, 0.333, 0.564)
O (0.461, 0.714, 0.607)
O (0.489, 0.855, 0.757)
O (0.511, 0.145, 0.243)
O (0.539, 0.286, 0.393)
O (0.558, 0.667, 0.436)
O (0.645, 0.355, 0.250)
O (0.667, 0.558, 0.936)
O (0.681, 0.119, 0.775)
O (0.714, 0.461, 0.107)
O (0.759, 0.081, 0.963)
O (0.855, 0.489, 0.257)
O (0.881, 0.319, 0.725)
O (0.919, 0.241, 0.537)
F (0.210, 0.251, 0.425)
F (0.251, 0.210, 0.925)
F (0.749, 0.790, 0.075)
F (0.790, 0.749, 0.575)

=====

Entry 4:
Computed, not measured: an optimized crystal structure of B3OF at the PBEsol level of DFT.

Computed properties:
**Energy**: -3.77 eV per atom
**Total magnetization**: 0.0 μB/cell
**Calculated volume**: 10.2 Å³ per atom
**ΔE_f (raw)**: 1.8781 eV/atom
**Density of states at the Fermi level**: 0.6842 states/eV/atom

Lattice parameters (Å, degrees): 3.713 3.713 3.713 90.00 90.00 90.00
Atoms (fractional coordinates):
B (0.000, 0.000, 0.500)
B (0.000, 0.500, 0.000)
B (0.500, 0.000, 0.000)
O (0.000, 0.000, 0.000)
F (0.500, 0.500, 0.500)

=====

Entry 5:
Computed, not measured: an optimized crystal structure of BPO2F at the PBEsol level of DFT.

Computed properties:
**Energy**: -5.44 eV per atom
**Total magnetization**: 0.0 μB/cell
**Calculated volume**: 9.3 Å³ per atom
**ΔE_f (raw)**: -0.3908 eV/atom
**Density of states at the Fermi level**: 0.3812 states/eV/atom

Lattice parameters (Å, degrees): 3.095 3.095 4.872 90.00 90.00 90.00
Atoms (fractional coordinates):
B (0.000, 0.000, 0.000)
P (0.000, 0.000, 0.500)
O (0.000, 0.500, 0.000)
O (0.500, 0.000, 0.000)
F (0.500, 0.500, 0.500)

=====

Entry 6:
Computed, not measured: an optimized crystal structure of BPb2O3F at the PBEsol level of DFT.

Computed properties:
**Energy**: -6.55 eV per atom
**Total magnetization**: 0.0 μB/cell
**Calculated volume**: 15.7 Å³ per atom
**ΔE_f (raw)**: -1.8806 eV/atom
**Density of states at the Fermi level**: 0.0000 states/eV/atom

Lattice parameters (Å, degrees): 7.271 7.271 14.432 90.00 90.00 120.00
Atoms (fractional coordinates):
B (0.005, 0.637, 0.250)
B (0.363, 0.368, 0.250)
B (0.368, 0.005, 0.750)
B (0.632, 0.995, 0.250)
B (0.637, 0.632, 0.750)
B (0.995, 0.363, 0.750)
Pb (0.014, 0.326, 0.104)
Pb (0.014, 0.326, 0.396)
Pb (0.312, 0.986, 0.104)
Pb (0.312, 0.986, 0.396)
Pb (0.326, 0.312, 0.604)
Pb (0.326, 0.312, 0.896)
Pb (0.674, 0.688, 0.104)
Pb (0.674, 0.688, 0.396)
Pb (0.688, 0.014, 0.604)
Pb (0.688, 0.014, 0.896)
Pb (0.986, 0.674, 0.604)
Pb (0.986, 0.674, 0.896)
O (0.002, 0.725, 0.165)
O (0.002, 0.725, 0.335)
O (0.008, 0.448, 0.250)
O (0.275, 0.277, 0.165)
O (0.275, 0.277, 0.335)
O (0.277, 0.002, 0.665)
O (0.277, 0.002, 0.835)
O (0.440, 0.992, 0.250)
O (0.448, 0.440, 0.750)
O (0.552, 0.560, 0.250)
O (0.560, 0.008, 0.750)
O (0.723, 0.998, 0.165)
O (0.723, 0.998, 0.335)
O (0.725, 0.723, 0.665)
O (0.725, 0.723, 0.835)
O (0.992, 0.552, 0.750)
O (0.998, 0.275, 0.665)
O (0.998, 0.275, 0.835)
F (0.000, 0.000, 0.000)
F (0.000, 0.000, 0.500)
F (0.333, 0.667, 0.054)
F (0.333, 0.667, 0.446)
F (0.667, 0.333, 0.554)
F (0.667, 0.333, 0.946)

=====

Entry 7:
Computed, not measured: an optimized crystal structure of BPb3O4F at the PBEsol level of DFT.

Computed properties:
**Energy**: -6.36 eV per atom
**Total magnetization**: 0.0 μB/cell
**Calculated volume**: 16.3 Å³ per atom
**ΔE_f (raw)**: -1.7023 eV/atom
**Density of states at the Fermi level**: 0.0000 states/eV/atom

Lattice parameters (Å, degrees): 7.614 6.435 11.991 90.00 90.00 90.00
Atoms (fractional coordinates):
B (0.023, 0.250, 0.000)
B (0.023, 0.250, 0.500)
B (0.977, 0.750, 0.000)
B (0.977, 0.750, 0.500)
Pb (0.107, 0.051, 0.250)
Pb (0.107, 0.449, 0.750)
Pb (0.334, 0.530, 0.105)
Pb (0.334, 0.530, 0.395)
Pb (0.334, 0.970, 0.605)
Pb (0.334, 0.970, 0.895)
Pb (0.666, 0.030, 0.105)
Pb (0.666, 0.030, 0.395)
Pb (0.666, 0.470, 0.605)
Pb (0.666, 0.470, 0.895)
Pb (0.893, 0.551, 0.250)
Pb (0.893, 0.949, 0.750)
O (0.068, 0.702, 0.097)
O (0.068, 0.702, 0.403)
O (0.068, 0.798, 0.597)
O (0.068, 0.798, 0.903)
O (0.193, 0.090, 0.750)
O (0.193, 0.410, 0.250)
O (0.205, 0.250, 0.000)
O (0.205, 0.250, 0.500)
O (0.795, 0.750, 0.000)
O (0.795, 0.750, 0.500)
O (0.807, 0.590, 0.750)
O (0.807, 0.910, 0.250)
O (0.932, 0.202, 0.097)
O (0.932, 0.202, 0.403)
O (0.932, 0.298, 0.597)
O (0.932, 0.298, 0.903)
F (0.423, 0.702, 0.750)
F (0.423, 0.798, 0.250)
F (0.577, 0.202, 0.750)
F (0.577, 0.298, 0.250)

=====

Entry 8:
Computed, not measured: an optimized crystal structure of BPbOF2 at the PBEsol level of DFT.

Computed properties:
**Energy**: -5.38 eV per atom
**Total magnetization**: 0.0 μB/cell
**Calculated volume**: 11.8 Å³ per atom
**ΔE_f (raw)**: -1.3522 eV/atom
**Density of states at the Fermi level**: 0.3120 states/eV/atom

Lattice parameters (Å, degrees): 4.636 4.636 2.747 90.00 90.00 90.00
Atoms (fractional coordinates):
B (0.000, 0.000, 0.000)
Pb (0.500, 0.500, 0.500)
O (0.000, 0.000, 0.500)
F (0.000, 0.500, 0.000)
F (0.500, 0.000, 0.000)

=====

Entry 9:
Computed, not measured: an optimized crystal structure of B9Pb8O21F at the PBEsol level of DFT.

Computed properties:
**Energy**: -7.30 eV per atom
**Total magnetization**: 0.0 μB/cell
**Calculated volume**: 13.5 Å³ per atom
**ΔE_f (raw)**: -1.9806 eV/atom
**Density of states at the Fermi level**: 0.0000 states/eV/atom

Lattice parameters (Å, degrees): 13.962 13.962 13.962 40.90 40.90 40.90
Atoms (fractional coordinates):
B (0.071, 0.612, 0.421)
B (0.079, 0.888, 0.429)
B (0.097, 0.250, 0.403)
B (0.112, 0.571, 0.921)
B (0.250, 0.403, 0.097)
B (0.388, 0.579, 0.929)
B (0.403, 0.097, 0.250)
B (0.421, 0.071, 0.612)
B (0.429, 0.079, 0.888)
B (0.571, 0.921, 0.112)
B (0.579, 0.929, 0.388)
B (0.597, 0.903, 0.750)
B (0.612, 0.421, 0.071)
B (0.750, 0.597, 0.903)
B (0.888, 0.429, 0.079)
B (0.903, 0.750, 0.597)
B (0.921, 0.112, 0.571)
B (0.929, 0.388, 0.579)
Pb (0.031, 0.297, 0.793)
Pb (0.165, 0.165, 0.165)
Pb (0.203, 0.469, 0.707)
Pb (0.207, 0.969, 0.703)
Pb (0.293, 0.797, 0.531)
Pb (0.297, 0.793, 0.031)
Pb (0.335, 0.335, 0.335)
Pb (0.469, 0.707, 0.203)
Pb (0.531, 0.293, 0.797)
Pb (0.665, 0.665, 0.665)
Pb (0.703, 0.207, 0.969)
Pb (0.707, 0.203, 0.469)
Pb (0.793, 0.031, 0.297)
Pb (0.797, 0.531, 0.293)
Pb (0.835, 0.835, 0.835)
Pb (0.969, 0.703, 0.207)
O (0.014, 0.957, 0.648)
O (0.034, 0.763, 0.547)
O (0.043, 0.352, 0.986)
O (0.047, 0.263, 0.534)
O (0.105, 0.395, 0.250)
O (0.116, 0.650, 0.270)
O (0.148, 0.457, 0.514)
O (0.150, 0.616, 0.770)
O (0.230, 0.850, 0.384)
O (0.237, 0.453, 0.966)
O (0.250, 0.105, 0.395)
O (0.263, 0.534, 0.047)
O (0.270, 0.116, 0.650)
O (0.350, 0.730, 0.884)
O (0.352, 0.986, 0.043)
O (0.384, 0.230, 0.850)
O (0.395, 0.250, 0.105)
O (0.453, 0.966, 0.237)
O (0.457, 0.514, 0.148)
O (0.466, 0.953, 0.737)
O (0.486, 0.852, 0.543)
O (0.514, 0.148, 0.457)
O (0.534, 0.047, 0.263)
O (0.543, 0.486, 0.852)
O (0.547, 0.034, 0.763)
O (0.605, 0.750, 0.895)
O (0.616, 0.770, 0.150)
O (0.648, 0.014, 0.957)
O (0.650, 0.270, 0.116)
O (0.730, 0.884, 0.350)
O (0.737, 0.466, 0.953)
O (0.750, 0.895, 0.605)
O (0.763, 0.547, 0.034)
O (0.770, 0.150, 0.616)
O (0.850, 0.384, 0.230)
O (0.852, 0.543, 0.486)
O (0.884, 0.350, 0.730)
O (0.895, 0.605, 0.750)
O (0.953, 0.737, 0.466)
O (0.957, 0.648, 0.014)
O (0.966, 0.237, 0.453)
O (0.986, 0.043, 0.352)
F (0.000, 0.000, 0.000)
F (0.500, 0.500, 0.500)

=====

Entry 10:
Computed, not measured: an optimized crystal structure of Pr4B4O11F2 at the PBEsol level of DFT.

Computed properties:
**Energy**: -8.42 eV per atom
**Total magnetization**: 0.0 μB/cell
**Calculated volume**: 10.9 Å³ per atom
**ΔE_f (raw)**: -3.1651 eV/atom
**Density of states at the Fermi level**: 0.0000 states/eV/atom

Lattice parameters (Å, degrees): 7.330 7.330 13.982 90.98 90.98 37.51
Atoms (fractional coordinates):
Pr (0.032, 0.085, 0.370)
Pr (0.085, 0.032, 0.870)
Pr (0.199, 0.244, 0.128)
Pr (0.244, 0.199, 0.628)
Pr (0.756, 0.801, 0.372)
Pr (0.801, 0.756, 0.872)
Pr (0.915, 0.968, 0.130)
Pr (0.968, 0.915, 0.630)
B (0.355, 0.457, 0.473)
B (0.389, 0.426, 0.786)
B (0.426, 0.389, 0.286)
B (0.457, 0.355, 0.973)
B (0.543, 0.645, 0.027)
B (0.574, 0.611, 0.714)
B (0.611, 0.574, 0.214)
B (0.645, 0.543, 0.527)
O (0.082, 0.758, 0.462)
O (0.120, 0.680, 0.275)
O (0.147, 0.511, 0.743)
O (0.242, 0.918, 0.038)
O (0.288, 0.537, 0.892)
O (0.320, 0.880, 0.225)
O (0.334, 0.443, 0.062)
O (0.359, 0.641, 0.750)
O (0.443, 0.334, 0.562)
O (0.463, 0.712, 0.608)
O (0.489, 0.853, 0.757)
O (0.511, 0.147, 0.243)
O (0.537, 0.288, 0.392)
O (0.557, 0.666, 0.438)
O (0.641, 0.359, 0.250)
O (0.666, 0.557, 0.938)
O (0.680, 0.120, 0.775)
O (0.712, 0.463, 0.108)
O (0.758, 0.082, 0.962)
O (0.853, 0.489, 0.257)
O (0.880, 0.320, 0.725)
O (0.918, 0.242, 0.538)
F (0.210, 0.251, 0.425)
F (0.251, 0.210, 0.925)
F (0.749, 0.790, 0.075)
F (0.790, 0.749, 0.575)

=====

Entry 11:
Computed, not measured: an optimized crystal structure of BSbO2F at the PBEsol level of DFT.

Computed properties:
**Energy**: -4.97 eV per atom
**Total magnetization**: 0.0 μB/cell
**Calculated volume**: 13.8 Å³ per atom
**ΔE_f (raw)**: -0.1707 eV/atom
**Density of states at the Fermi level**: 0.2059 states/eV/atom

Lattice parameters (Å, degrees): 4.032 4.032 4.234 90.00 90.00 90.00
Atoms (fractional coordinates):
B (0.000, 0.000, 0.000)
Sb (0.500, 0.500, 0.500)
O (0.000, 0.500, 0.500)
O (0.500, 0.000, 0.500)
F (0.500, 0.500, 0.000)

=====

Entry 12:
Computed, not measured: an optimized crystal structure of BSeOF2 at the PBEsol level of DFT.

Computed properties:
**Energy**: -4.96 eV per atom
**Total magnetization**: 0.9 μB/cell
**Calculated volume**: 10.7 Å³ per atom
**ΔE_f (raw)**: -0.9649 eV/atom
**Density of states at the Fermi level**: 0.4299 states/eV/atom

Lattice parameters (Å, degrees): 4.529 4.529 2.613 90.00 90.00 90.00
Atoms (fractional coordinates):
B (0.000, 0.000, 0.000)
Se (0.500, 0.500, 0.500)
O (0.000, 0.000, 0.500)
F (0.000, 0.500, 0.000)
F (0.500, 0.000, 0.000)

=====

Entry 13:
Computed, not measured: an optimized crystal structure of TaBOF2 at the PBEsol level of DFT.

Computed properties:
**Energy**: -6.44 eV per atom
**Total magnetization**: 1.5 μB/cell
**Calculated volume**: 10.8 Å³ per atom
**ΔE_f (raw)**: -0.7074 eV/atom
**Density of states at the Fermi level**: 0.5807 states/eV/atom

Lattice parameters (Å, degrees): 4.555 4.555 2.603 90.00 90.00 90.00
Atoms (fractional coordinates):
Ta (0.000, 0.000, 0.000)
B (0.500, 0.500, 0.500)
O (0.500, 0.500, 0.000)
F (0.000, 0.500, 0.500)
F (0.500, 0.000, 0.500)

=====

Entry 14:
Computed, not measured: an optimized crystal structure of Ta2BOF at the PBEsol level of DFT.

Computed properties:
**Energy**: -7.49 eV per atom
**Total magnetization**: 0.0 μB/cell
**Calculated volume**: 12.7 Å³ per atom
**ΔE_f (raw)**: 0.3701 eV/atom
**Density of states at the Fermi level**: 0.8463 states/eV/atom

Lattice parameters (Å, degrees): 4.512 4.512 3.117 90.00 90.00 90.00
Atoms (fractional coordinates):
Ta (0.000, 0.500, 0.000)
Ta (0.500, 0.000, 0.000)
B (0.000, 0.000, 0.000)
O (0.000, 0.000, 0.500)
F (0.500, 0.500, 0.500)

=====

Entry 15:
Computed, not measured: an optimized crystal structure of TcBOF2 at the PBEsol level of DFT.

Computed properties:
**Energy**: -5.75 eV per atom
**Total magnetization**: 0.0 μB/cell
**Calculated volume**: 12.4 Å³ per atom
**ΔE_f (raw)**: -0.2727 eV/atom
**Density of states at the Fermi level**: 0.6654 states/eV/atom

Lattice parameters (Å, degrees): 4.097 4.097 3.690 90.00 90.00 90.00
Atoms (fractional coordinates):
Tc (0.000, 0.000, 0.000)
B (0.500, 0.500, 0.500)
O (0.000, 0.000, 0.500)
F (0.000, 0.500, 0.000)
F (0.500, 0.000, 0.000)